Record 1
A plane-wave DFT calculation with PBE-GGA was carried out for crystalline Rb2NaGdCl6 at its relaxed geometry.

Properties
The formation energy without anion corrections comes out at -2090.4 meV per atom. The total energy is -197.28 eV/cell.

a = 10.846 Å, b = 10.846 Å, c = 10.846 Å
α = 90.00°, β = 90.00°, γ = 90.00°
Space group Fm-3m (No. 225)
Symmetry-distinct sites (fractional):
Rb1 0.250 0.250 0.250
Na1 0.000 0.000 0.000
Gd1 0.000 0.000 0.500
Cl1 0.000 0.000 0.254

=====

Record 2
A plane-wave DFT calculation with PBE-GGA was carried out for crystalline Nd3GdCl at its relaxed geometry.

Properties
The formation energy without anion corrections comes out at -494.0 meV per atom. The total energy is -32.70 eV/cell.

a = 5.479 Å, b = 5.479 Å, c = 5.479 Å
α = 90.00°, β = 90.00°, γ = 90.00°
Space group Pm-3m (No. 221)
Symmetry-distinct sites (fractional):
Nd1 0.000 0.000 0.500
Gd1 0.500 0.500 0.500
Cl1 0.000 0.000 0.000